Record 1
Crystalline Te2Pd8Au at its relaxed geometry. Source: the Alexandria database, functional PBE-GGA.

Properties
Volume = 192 Å³ per cell
Final energy = -4.830 eV/atom
Energy relative to the elements, uncorrected = -0.18 eV/atom
Distance to the lowest polymorph of the same formula = 0.0305 eV/atom

```
Te2Pd8Au
1.0
3.7710 -6.5558 0.0000
3.7710 6.5558 0.0000
-2.6265 0.0000 3.8824
Te Pd Au
2 8 1
direct
0.1578 0.8422 0.0000
0.8422 0.1578 0.0000
0.1025 0.4379 0.7843
0.2323 0.2323 0.3505
0.4379 0.1025 0.7843
0.4516 0.7018 0.5972
0.5937 0.9870 0.2977
0.7018 0.4516 0.5972
0.9759 0.9759 0.6036
0.9870 0.5937 0.2977
0.5443 0.5443 0.0748
```



Record 2
Crystalline TePdAu2 at its relaxed geometry. Source: the Alexandria database, functional PBE-GGA.

Properties
Volume = 166 Å³ per cell
Final energy = -3.673 eV/atom
Energy relative to the elements, uncorrected = 0.05 eV/atom

```
TePdAu2
1.0
-3.9012 3.9012 2.7298
3.9012 -3.9012 2.7298
3.9012 3.9012 -2.7298
Te Pd Au
2 2 4
direct
0.0000 0.0000 0.0000
0.7500 0.2500 0.5000
0.2500 0.7500 0.5000
0.5000 0.5000 0.0000
0.1300 0.6250 0.0050
0.3750 0.3800 0.5050
0.6200 0.1250 0.9950
0.8750 0.8700 0.4950
```



Record 3
Crystalline Te2PdAu at its relaxed geometry. Source: the Alexandria database, functional PBE-GGA.

Properties
Volume = 87 Å³ per cell
Final energy = -3.558 eV/atom
Energy relative to the elements, uncorrected = 0.13 eV/atom
Distance to the lowest polymorph of the same formula = 0.2767 eV/atom

```
Te2PdAu
1.0
3.8147 0.0000 0.0000
0.0000 3.8147 0.0000
0.0000 0.0000 5.9870
Te Pd Au
2 1 1
direct
0.0000 0.0000 0.2413
0.0000 0.0000 0.7587
0.5000 0.5000 0.0000
0.5000 0.5000 0.5000
```



Record 4
Crystalline TePd3Au at its relaxed geometry. Source: the Alexandria database, functional PBE-GGA.

Properties
Volume = 189 Å³ per cell
Final energy = -4.536 eV/atom
Energy relative to the elements, uncorrected = -0.14 eV/atom
Distance to the lowest polymorph of the same formula = 0.0000 eV/atom

```
TePd3Au
1.0
5.7942 0.0000 0.0000
0.0000 6.9462 0.0000
0.0000 0.0000 4.7041
Te Pd Au
2 6 2
direct
0.0000 0.0334 0.0000
0.5000 0.9666 0.5000
0.0000 0.3843 0.1803
0.2480 0.2635 0.6674
0.2520 0.7365 0.1674
0.5000 0.6157 0.6803
0.7480 0.7365 0.1674
0.7520 0.2635 0.6674
0.0000 0.6254 0.6707
0.5000 0.3746 0.1707
```



Record 5
Crystalline Te3PdAu2 at its relaxed geometry. Source: the Alexandria database, functional PBE-GGA.

Properties
Volume = 317 Å³ per cell
Final energy = -3.611 eV/atom
Energy relative to the elements, uncorrected = -0.08 eV/atom

```
Te3PdAu2
1.0
10.9582 -2.0205 0.0000
10.9582 2.0205 0.0000
-1.5822 0.0000 7.1478
Te Pd Au
6 2 4
direct
0.0743 0.0743 0.4286
0.2569 0.2569 0.8041
0.4044 0.4044 0.1370
0.5956 0.5956 0.8630
0.7431 0.7431 0.1959
0.9257 0.9257 0.5714
0.1683 0.1683 0.0300
0.8317 0.8317 0.9700
0.1967 0.1967 0.4343
0.4586 0.4586 0.8238
0.5414 0.5414 0.1762
0.8033 0.8033 0.5657
```



Record 6
Crystalline Te4PdAu at its relaxed geometry. Source: the Alexandria database, functional PBE-GGA.

Properties
Volume = 160 Å³ per cell
Final energy = -3.712 eV/atom
Energy relative to the elements, uncorrected = -0.21 eV/atom
Distance to the lowest polymorph of the same formula = 0.0000 eV/atom

```
Te4PdAu
1.0
5.2292 0.0000 0.0000
0.0000 4.1391 0.0000
-0.0261 0.0000 7.4126
Te Pd Au
4 1 1
direct
0.2071 0.0000 0.1315
0.2487 0.5000 0.6743
0.7513 0.5000 0.3257
0.7929 0.0000 0.8685
0.5000 0.5000 0.0000
0.5000 0.0000 0.5000
```



Record 7
Crystalline Te2Pd7Au at its relaxed geometry. Source: the Alexandria database, functional PBE-GGA.

Properties
Volume = 185 Å³ per cell
Final energy = -4.779 eV/atom
Energy relative to the elements, uncorrected = -0.19 eV/atom

```
Te2Pd7Au
1.0
-2.0169 2.0169 11.3700
2.0169 -2.0169 11.3700
2.0169 2.0169 -11.3700
Te Pd Au
2 7 1
direct
0.1667 0.1667 0.0000
0.8333 0.8333 0.0000
0.0000 0.0000 0.0000
0.0896 0.5896 0.5000
0.2500 0.7500 0.5000
0.4104 0.9104 0.5000
0.5896 0.0896 0.5000
0.7500 0.2500 0.5000
0.9104 0.4104 0.5000
0.5000 0.5000 0.0000
```



Record 8
Crystalline TePd4Au at its relaxed geometry. Source: the Alexandria database, functional PBE-GGA.

Properties
Volume = 119 Å³ per cell
Final energy = -4.560 eV/atom
Energy relative to the elements, uncorrected = -0.03 eV/atom
Distance to the lowest polymorph of the same formula = 0.1373 eV/atom

```
TePd4Au
1.0
4.1543 0.0000 0.0000
0.0000 4.1543 0.0000
0.0000 0.0000 6.8964
Te Pd Au
1 4 1
direct
0.0000 0.0000 0.0000
0.0000 0.5000 0.2364
0.0000 0.5000 0.7636
0.5000 0.0000 0.2364
0.5000 0.0000 0.7636
0.5000 0.5000 0.5000
```



Record 9
Crystalline TePd5Au at its relaxed geometry. Source: the Alexandria database, functional PBE-GGA.

Properties
Volume = 248 Å³ per cell
Final energy = -4.682 eV/atom
Energy relative to the elements, uncorrected = -0.06 eV/atom
Distance to the lowest polymorph of the same formula = 0.1227 eV/atom

```
TePd5Au
1.0
4.6390 -2.7797 0.0000
4.6390 2.7797 0.0000
-1.8893 0.0000 9.6295
Te Pd Au
2 10 2
direct
0.0000 0.0000 0.0000
0.0000 0.0000 0.5000
0.0985 0.3788 0.6581
0.1334 0.8666 0.7500
0.2533 0.4557 0.9511
0.3788 0.0985 0.1581
0.4557 0.2533 0.4511
0.5443 0.7467 0.5489
0.6212 0.9015 0.8419
0.7467 0.5443 0.0489
0.8666 0.1334 0.2500
0.9015 0.6212 0.3419
0.3720 0.6280 0.2500
0.6280 0.3720 0.7500
```



Record 10
Crystalline TePdAu at its relaxed geometry. Source: the Alexandria database, functional PBE-GGA.

Properties
Volume = 139 Å³ per cell
Final energy = -3.977 eV/atom
Energy relative to the elements, uncorrected = -0.11 eV/atom
Distance to the lowest polymorph of the same formula = 0.0000 eV/atom

```
TePdAu
1.0
3.0726 -2.3379 0.0000
3.0726 2.3379 0.0000
-1.3214 0.0000 9.6783
Te Pd Au
2 2 2
direct
0.0455 0.0455 0.3326
0.9545 0.9545 0.6674
0.3614 0.3614 0.7884
0.6386 0.6386 0.2116
0.2180 0.2180 0.0684
0.7820 0.7820 0.9316
```



Record 11
Crystalline Te2PdAu at its relaxed geometry. Source: the Alexandria database, functional PBE-GGA.

Properties
Volume = 116 Å³ per cell
Final energy = -3.835 eV/atom
Energy relative to the elements, uncorrected = -0.15 eV/atom
Distance to the lowest polymorph of the same formula = 0.0000 eV/atom

```
Te2PdAu
1.0
2.0543 1.1860 7.9547
-2.0543 1.1860 7.9547
0.0000 -2.3721 7.9547
Te Pd Au
2 1 1
direct
0.1094 0.1094 0.1094
0.8906 0.8906 0.8906
0.5000 0.5000 0.5000
0.0000 0.0000 0.0000
```



Record 12
Crystalline TePd14Au at its relaxed geometry. Source: the Alexandria database, functional PBE-GGA.

Properties
Volume = 256 Å³ per cell
Final energy = -4.985 eV/atom
Energy relative to the elements, uncorrected = -0.04 eV/atom

```
TePd14Au
1.0
9.2177 0.0000 0.0000
0.0000 2.8919 4.7959
0.0000 -2.8919 4.7959
Te Pd Au
1 14 1
direct
0.0000 0.0000 0.0000
0.0000 0.5008 0.9993
0.0000 0.9993 0.5008
0.2514 0.3203 0.8244
0.2514 0.8244 0.3203
0.2534 0.3226 0.3226
0.2541 0.8203 0.8203
0.5000 0.1452 0.6466
0.5000 0.1470 0.1470
0.5000 0.6444 0.6444
0.5000 0.6466 0.1452
0.7459 0.8203 0.8203
0.7466 0.3226 0.3226
0.7486 0.3203 0.8244
0.7486 0.8244 0.3203
0.0000 0.4983 0.4983
```



Record 13
Crystalline Te8Pd3Au3 at its relaxed geometry. Source: the Alexandria database, functional PBE-GGA.

Properties
Volume = 387 Å³ per cell
Final energy = -3.798 eV/atom
Energy relative to the elements, uncorrected = -0.19 eV/atom

```
Te8Pd3Au3
1.0
4.0893 2.3610 6.6878
-4.0893 2.3610 6.6878
0.0000 -4.7220 6.6878
Te Pd Au
8 3 3
direct
0.2128 0.7569 0.7569
0.2367 0.2367 0.2367
0.2431 0.2431 0.7872
0.2431 0.7872 0.2431
0.7569 0.2128 0.7569
0.7569 0.7569 0.2128
0.7633 0.7633 0.7633
0.7872 0.2431 0.2431
0.0000 0.0000 0.5000
0.0000 0.5000 0.0000
0.5000 0.0000 0.0000
0.0000 0.0000 0.0000
0.3742 0.3742 0.3742
0.6258 0.6258 0.6258
```



Record 14
Crystalline Te2PdAu at its relaxed geometry. Source: the Alexandria database, functional PBE-GGA.

Properties
Volume = 87 Å³ per cell
Final energy = -3.515 eV/atom
Energy relative to the elements, uncorrected = 0.17 eV/atom
Distance to the lowest polymorph of the same formula = 0.3197 eV/atom

```
Te2PdAu
1.0
0.0000 3.5219 3.5219
3.5219 0.0000 3.5219
3.5219 3.5219 0.0000
Te Pd Au
2 1 1
direct
0.2500 0.2500 0.2500
0.7500 0.7500 0.7500
0.0000 0.0000 0.0000
0.5000 0.5000 0.5000
```



Record 15
Crystalline TePd4Au2 at its relaxed geometry. Source: the Alexandria database, functional PBE-GGA.

Properties
Volume = 253 Å³ per cell
Final energy = -4.409 eV/atom
Energy relative to the elements, uncorrected = -0.06 eV/atom

```
TePd4Au2
1.0
6.9492 0.0000 0.0000
-0.5120 6.9372 0.0000
-3.1640 -3.5118 5.2425
Te Pd Au
2 8 4
direct
0.0000 0.0000 0.0000
0.0658 0.5665 0.5000
0.1564 0.4379 0.1237
0.2425 0.3565 0.7275
0.3146 0.0328 0.8765
0.4314 0.2540 0.4039
0.6283 0.5148 0.2718
0.7729 0.1238 0.2337
0.8500 0.0270 0.5956
0.8896 0.5394 0.7669
0.1163 0.8879 0.3592
0.4172 0.8002 0.1462
0.5286 0.7564 0.6409
0.6538 0.2704 0.8534
```



Record 16
Crystalline Te3PdAu at its relaxed geometry. Source: the Alexandria database, functional PBE-GGA.

Properties
Volume = 270 Å³ per cell
Final energy = -3.726 eV/atom
Energy relative to the elements, uncorrected = -0.15 eV/atom
Distance to the lowest polymorph of the same formula = 0.0000 eV/atom

```
Te3PdAu
1.0
7.1868 0.0000 0.0000
0.0000 4.1971 0.0000
-3.5338 0.0000 8.9657
Te Pd Au
6 2 2
direct
0.1354 0.2500 0.2673
0.2544 0.2500 0.6455
0.3193 0.2500 0.0276
0.6807 0.7500 0.9724
0.7456 0.7500 0.3545
0.8646 0.7500 0.7327
0.2708 0.7500 0.8358
0.7292 0.2500 0.1642
0.3888 0.7500 0.3963
0.6112 0.2500 0.6037
```



Record 17
Crystalline TePdAu at its relaxed geometry. Source: the Alexandria database, functional PBE-GGA.

Properties
Volume = 60 Å³ per cell
Final energy = -3.926 eV/atom
Energy relative to the elements, uncorrected = -0.06 eV/atom
Distance to the lowest polymorph of the same formula = 0.0506 eV/atom

```
TePdAu
1.0
-1.8464 1.8464 4.3692
1.8464 -1.8464 4.3692
1.8464 1.8464 -4.3692
Te Pd Au
1 1 1
direct
0.0000 0.0000 0.0000
0.6369 0.6369 0.0000
0.3118 0.3118 0.0000
```



Record 18
Crystalline Te3PdAu at its relaxed geometry. Source: the Alexandria database, functional PBE-GGA.

Properties
Volume = 147 Å³ per cell
Final energy = -3.051 eV/atom
Energy relative to the elements, uncorrected = 0.53 eV/atom
Distance to the lowest polymorph of the same formula = 0.6753 eV/atom

```
Te3PdAu
1.0
5.2721 0.0000 0.0000
0.0000 5.2721 0.0000
0.0000 0.0000 5.2721
Te Pd Au
3 1 1
direct
0.0000 0.0000 0.5000
0.0000 0.5000 0.0000
0.5000 0.0000 0.0000
0.0000 0.0000 0.0000
0.5000 0.5000 0.5000
```



Record 19
Crystalline Te4PdAu at its relaxed geometry. Source: the Alexandria database, functional PBE-GGA.

Properties
Volume = 158 Å³ per cell
Final energy = -3.707 eV/atom
Energy relative to the elements, uncorrected = -0.20 eV/atom
Distance to the lowest polymorph of the same formula = 0.0043 eV/atom

```
Te4PdAu
1.0
6.3619 -2.0718 0.0000
6.3619 2.0718 0.0000
-4.1613 0.0000 5.9784
Te Pd Au
4 1 1
direct
0.1294 0.1294 0.4566
0.3532 0.3532 0.0472
0.6468 0.6468 0.9528
0.8706 0.8706 0.5434
0.5000 0.5000 0.5000
0.0000 0.0000 0.0000
```



Record 20
Crystalline Te6Pd3Au at its relaxed geometry. Source: the Alexandria database, functional PBE-GGA.

Properties
Volume = 260 Å³ per cell
Final energy = -3.990 eV/atom
Energy relative to the elements, uncorrected = -0.22 eV/atom
Distance to the lowest polymorph of the same formula = 0.0000 eV/atom

```
Te6Pd3Au
1.0
3.5516 2.0505 5.9531
-3.5516 2.0505 5.9531
0.0000 -4.1011 5.9531
Te Pd Au
6 3 1
direct
0.0140 0.2893 0.6967
0.1900 0.8067 0.4970
0.2893 0.6967 0.0140
0.4970 0.1900 0.8067
0.6967 0.0140 0.2893
0.8067 0.4970 0.1900
0.0982 0.0982 0.0982
0.4017 0.4017 0.4017
0.8972 0.8972 0.8972
0.6045 0.6045 0.6045
```



Record 21
Crystalline Te2PdAu at its relaxed geometry. Source: the Alexandria database, functional PBE-GGA.

Properties
Volume = 94 Å³ per cell
Final energy = -3.745 eV/atom
Energy relative to the elements, uncorrected = -0.06 eV/atom
Distance to the lowest polymorph of the same formula = 0.0898 eV/atom

```
Te2PdAu
1.0
1.9290 1.1137 7.2899
-1.9290 1.1137 7.2899
0.0000 -2.2274 7.2899
Te Pd Au
2 1 1
direct
0.0000 0.0000 0.0000
0.1572 0.1572 0.1572
0.4106 0.4106 0.4106
0.5781 0.5781 0.5781
```



Record 22
Crystalline Te6Pd3Au at its relaxed geometry. Source: the Alexandria database, functional PBE-GGA.

Properties
Volume = 277 Å³ per cell
Final energy = -3.941 eV/atom
Energy relative to the elements, uncorrected = -0.17 eV/atom
Distance to the lowest polymorph of the same formula = 0.0496 eV/atom

```
Te6Pd3Au
1.0
5.2427 -6.3003 0.0000
5.2427 6.3003 0.0000
0.0000 0.0000 4.1895
Te Pd Au
6 3 1
direct
0.1509 0.8491 0.0000
0.1776 0.4221 0.5000
0.4221 0.1776 0.5000
0.5779 0.8224 0.5000
0.8224 0.5779 0.5000
0.8491 0.1509 0.0000
0.0000 0.5000 0.0000
0.5000 0.0000 0.0000
0.5000 0.5000 0.5000
0.0000 0.0000 0.5000
```



Record 23
Crystalline TePd6Au5 at its relaxed geometry. Source: the Alexandria database, functional PBE-GGA.

Properties
Volume = 205 Å³ per cell
Final energy = -4.366 eV/atom
Energy relative to the elements, uncorrected = -0.14 eV/atom

```
TePd6Au5
1.0
-2.1725 3.6925 6.3980
2.1725 -3.6925 6.3980
2.1725 3.6925 -6.3980
Te Pd Au
1 6 5
direct
0.0000 0.0000 0.0000
0.0765 0.8404 0.2361
0.2271 0.5000 0.7271
0.3957 0.1596 0.2361
0.6043 0.8404 0.7639
0.7729 0.5000 0.2729
0.9235 0.1596 0.7639
0.1884 0.6884 0.5000
0.3411 0.3411 0.0000
0.5000 0.0000 0.5000
0.6589 0.6589 0.0000
0.8116 0.3116 0.5000
```



Number 1: DOS at the Fermi energy 6.5 states/eV/cell. Number 2: DOS at the Fermi energy 2.3 states/eV/cell. Number 3: DOS at the Fermi energy 2.1 states/eV/cell. Number 4: DOS at the Fermi energy 7.3 states/eV/cell. Number 5: DOS at the Fermi energy 6.0 states/eV/cell. Number 6: DOS at the Fermi energy 2.7 states/eV/cell. Number 7: DOS at the Fermi energy 6.4 states/eV/cell. Number 8: DOS at the Fermi energy 3.1 states/eV/cell. Number 9: DOS at the Fermi energy 8.7 states/eV/cell. Number 10: DOS at the Fermi energy 3.4 states/eV/cell. Number 11: DOS at the Fermi energy 2.0 states/eV/cell. Number 12: DOS at the Fermi energy 30.1 states/eV/cell. Number 13: DOS at the Fermi energy 9.5 states/eV/cell. Number 14: DOS at the Fermi energy 2.4 states/eV/cell. Number 15: DOS at the Fermi energy 8.2 states/eV/cell. Number 16: DOS at the Fermi energy 5.9 states/eV/cell. Number 17: DOS at the Fermi energy 1.4 states/eV/cell. Number 18: DOS at the Fermi energy 5.4 states/eV/cell. Number 19: DOS at the Fermi energy 3.1 states/eV/cell. Number 20: DOS at the Fermi energy 4.5 states/eV/cell. Number 21: DOS at the Fermi energy 1.6 states/eV/cell. Number 22: DOS at the Fermi energy 4.1 states/eV/cell. Number 23: DOS at the Fermi energy 4.7 states/eV/cell.